K2ScBeSe (meta-GGA SCAN, PBEsol geometry); ΔE_f (raw) = 0.346 eV/atom; energy = -53.598 eV per cell
1.0
6.514 0.000 0.000
0.000 6.514 0.000
0.000 0.000 4.133
K Sc Be Se
2 1 1 1
direct
0.000 0.500 0.000
0.500 0.000 0.000
0.000 0.000 0.500
0.500 0.500 0.500
0.500 0.500 0.000